# 1
## Ca2CeNi9 (PBE)

Data for a relaxed structure of Ca2CeNi9.

Cell lengths 4.9674, 4.9674, 8.6652 Å; angles 73.34, 73.34, 60.00 degrees
Sites, in units of the cell vectors:
Ni1 0.5000 0.5000 0.5000
Ni2 0.9173 0.4198 0.2432
Ni3 0.0827 0.5802 0.7568
Ni4 0.3327 0.3327 0.0018
Ni5 0.4198 0.9173 0.2432
Ni6 0.5802 0.0827 0.7568
Ni7 0.6673 0.6673 0.9982
Ni8 0.5802 0.5802 0.7568
Ni9 0.4198 0.4198 0.2432
Ca1 0.8583 0.8583 0.4252
Ca2 0.1417 0.1417 0.5748
Ce1 0.0000 0.0000 0.0000

Values from the calculation:
Symmetry ... R-3m, No. 166
Energy of formation ... -0.258 eV per atom



# 2
## CsLaHRhS (PBE)

Data for a relaxed structure of CsLaHRhS.

Cell lengths 4.4978, 4.4978, 8.0169 Å; angles 90.00, 90.00, 120.00 degrees
Sites, in units of the cell vectors:
Cs1 0.3333 0.6667 0.9442
S1 0.6667 0.3333 0.2565
Rh1 0.6667 0.3333 0.5671
La1 0.0000 0.0000 0.4368
H1 0.6667 0.3333 0.7721

Values from the calculation:
Symmetry ... P3m1, No. 156
Energy above the most stable polymorph in this dataset ... 32 meV/atom



# 3
## Mg3In3PdPt2 (PBE)

Data for a relaxed structure of Mg3In3PdPt2.

Cell lengths 3.4129, 7.6378, 7.6378 Å; angles 120.00, 90.00, 90.00 degrees
Sites, in units of the cell vectors:
Pt1 0.5000 0.3333 0.6667
Pt2 0.5000 0.6667 0.3333
In1 0.5000 0.2815 0.2815
In2 0.5000 0.7185 0.0000
In3 0.5000 0.0000 0.7185
Mg1 0.0000 0.3909 0.0000
Mg2 0.0000 0.6091 0.6091
Mg3 0.0000 0.0000 0.3909
Pd1 0.0000 0.0000 0.0000

Values from the calculation:
Symmetry ... P-62m, No. 189
Energy of formation ... -0.566 eV per atom



# 4
## Sm3Co7Si2 (PBE)

Data for a relaxed structure of Sm3Co7Si2.

Cell lengths 5.2263, 5.2263, 8.1195 Å; angles 71.23, 71.23, 60.00 degrees
Sites, in units of the cell vectors:
Sm1 0.8581 0.8581 0.4256
Sm2 0.0000 0.0000 0.0000
Sm3 0.1419 0.1419 0.5744
Co1 0.9152 0.4257 0.2334
Co2 0.4257 0.4257 0.2334
Co3 0.0848 0.5743 0.7666
Co4 0.5000 0.5000 0.5000
Co5 0.5743 0.5743 0.7666
Co6 0.5743 0.0848 0.7666
Co7 0.4257 0.9152 0.2334
Si1 0.3320 0.3320 0.0039
Si2 0.6680 0.6680 0.9961

Values from the calculation:
Formation energy (no corrections) ... -0.3757 eV/atom
Symmetry ... R-3m, No. 166



# 5
## Sm5Te2As2 (PBE)

Data for a relaxed structure of Sm5Te2As2.

Cell lengths 8.0074, 8.7110, 8.7110 Å; angles 125.20, 90.00, 90.00 degrees
Sites, in units of the cell vectors:
As1 0.3556 0.1463 0.1463
As2 0.1444 0.6463 0.6463
As3 0.6444 0.8537 0.8537
As4 0.8556 0.3537 0.3537
Sm1 0.0000 0.0000 0.0000
Sm2 0.3423 0.9694 0.7159
Sm3 0.1577 0.2159 0.4694
Sm4 0.6577 0.2841 0.0306
Sm5 0.8423 0.5306 0.7841
Sm6 0.3423 0.7159 0.9694
Sm7 0.5000 0.5000 0.5000
Sm8 0.8423 0.7841 0.5306
Sm9 0.1577 0.4694 0.2159
Sm10 0.6577 0.0306 0.2841
Te1 0.0000 0.2016 0.7984
Te2 0.0000 0.7984 0.2016
Te3 0.5000 0.7016 0.2984
Te4 0.5000 0.2984 0.7016

Values from the calculation:
Formation energy (no corrections) ... -1.2613 eV/atom
Symmetry ... Cmce, No. 64



# 6
## K2AgSbS4 (PBE)

Data for a relaxed structure of K2AgSbS4.

Cell lengths 6.3440, 7.4548, 12.3862 Å; angles 83.74, 75.16, 64.82 degrees
Sites, in units of the cell vectors:
S1 0.4129 0.7143 0.3931
S2 0.5560 0.2143 0.1069
S3 0.2296 0.2143 0.8931
S4 0.1940 0.2857 0.3931
S5 0.8727 0.7143 0.6069
S6 0.8773 0.7857 0.8931
S7 0.3371 0.7857 0.1069
S8 0.5204 0.2857 0.6069
Ag1 0.0000 0.0000 0.0000
Ag2 0.7500 0.5000 0.5000
K1 0.8134 0.0000 0.3732
K2 0.5634 0.5000 0.8732
K3 0.1866 0.0000 0.6268
K4 0.9366 0.5000 0.1268
Sb1 0.5000 0.0000 0.0000
Sb2 0.2500 0.5000 0.5000

Values from the calculation:
Formation energy (no corrections) ... -0.5419 eV/atom
Symmetry ... Fddd, No. 70



# 7
## NiGeRu (PBE)

Data for a relaxed structure of NiGeRu.

Cell lengths 2.9760, 2.9760, 4.9091 Å; angles 107.64, 107.64, 90.00 degrees
Sites, in units of the cell vectors:
Ge1 0.9449 0.9449 0.8899
Ni1 0.2975 0.2975 0.5951
Ru1 0.6075 0.6075 0.2150

Values from the calculation:
Symmetry ... I4mm, No. 107
Energy of formation ... -0.026 eV per atom



# 8
## PmLuPt (PBE)

Data for a relaxed structure of PmLuPt.

Cell lengths 4.2390, 4.6259, 4.6259 Å; angles 120.00, 90.00, 90.00 degrees
Sites, in units of the cell vectors:
Lu1 0.2255 0.3333 0.6667
Pm1 0.7154 0.6667 0.3333
Pt1 0.0591 0.0000 0.0000

Values from the calculation:
Symmetry ... P3m1, No. 156
Energy above the most stable polymorph in this dataset ... 150 meV/atom
Energy of formation ... -0.690 eV per atom